Entry 1:
An optimized crystal structure of CuPSe, computed with GGA-PBE.

Properties
* crystal system: orthorhombic
* spin magnetization: 0.000 μB/atom
* DFT total energy: -3.901 eV/atom
* mass density: 5.6 g cm⁻³

Cell lengths 4.900, 4.900, 6.716 Å; angles 90.00, 90.00, 140.68 degrees
Element x y z (fractional)
P  0.000  0.000  0.000
P  0.000  0.000  0.500
Cu  0.386  0.614  0.250
Cu  0.614  0.386  0.750
Se  0.342  0.658  0.750
Se  0.658  0.342  0.250

=====

Entry 2:
An optimized crystal structure of Tb3Y4Tm5, computed with GGA-PBE.

Properties
* relative energy among the computed polymorphs: 0.218 eV/atom
* crystal system: monoclinic
* formation energy: 2.912 eV per formula unit
* spin magnetization: 0.042 μB/atom
* DFT total energy: -4.933 eV/atom
* mass density: 7.2 g cm⁻³

Cell lengths 5.855, 8.462, 9.556 Å; angles 105.43, 72.16, 69.76 degrees
Each line ends with the local moment (μB).
Element x y z (fractional)
Tm  0.626  0.946  0.801  0.01
Tm  0.213  0.459  0.115  0.02
Tm  0.374  0.054  0.199  0.01
Tm  0.500  0.500  0.500  0.19
Tm  0.787  0.541  0.885  0.02
Y  0.858  0.223  0.061  0.01
Y  0.167  0.044  0.621  0.00
Y  0.833  0.956  0.379  0.00
Y  0.142  0.777  0.939  0.01
Tb  0.475  0.315  0.735  0.01
Tb  0.525  0.685  0.265  0.01
Tb  0.000  0.500  0.500  0.19

=====

Entry 3:
An optimized crystal structure of KZr2Tl, computed with GGA-PBE.

Properties
* relative energy among the computed polymorphs: 0.313 eV/atom
* crystal system: monoclinic
* formation energy: 1.896 eV per formula unit
* spin magnetization: 0.000 μB/atom
* DFT total energy: -4.666 eV/atom
* mass density: 6.1 g cm⁻³

Cell lengths 5.453, 3.179, 6.740 Å; angles 81.98, 90.00, 90.00 degrees
Element x y z (fractional)
K  0.500  0.250  0.250
Zr  0.000  0.957  0.934
Zr  0.000  0.543  0.566
Tl  0.500  0.750  0.750

=====

Entry 4:
An optimized crystal structure of BaY2As, computed with GGA-PBE.

Properties
* crystal system: orthorhombic
* formation energy: -2.137 eV per formula unit
* spin magnetization: 0.000 μB/atom
* DFT total energy: -5.409 eV/atom
* mass density: 4.8 g cm⁻³

Cell lengths 6.857, 6.857, 6.030 Å; angles 63.91, 63.91, 32.14 degrees
Element x y z (fractional)
Y  0.065  0.065  0.935
Y  0.435  0.435  0.565
As  0.750  0.750  0.750
Ba  0.250  0.250  0.250

=====

Entry 5:
An optimized crystal structure of RbHf2TiN, computed with GGA-PBE.

Properties
* crystal system: tetragonal
* spin magnetization: 0.003 μB/atom
* DFT total energy: -5.223 eV/atom
* mass density: 6.2 g cm⁻³

Cell lengths 4.896, 5.649, 4.896 Å; angles 90.00, 90.00, 90.00 degrees
Element x y z (fractional)
Rb  0.000  0.500  0.000
Hf  0.500  0.000  0.000
Hf  0.000  0.000  0.500
N  0.500  0.500  0.500
Ti  0.000  0.000  0.000

=====

Entry 6:
An optimized crystal structure of PrCdSn2Pd5, computed with GGA-PBE.

Properties
* crystal system: tetragonal
* formation energy: -3.795 eV per formula unit
* spin magnetization: 0.000 μB/atom
* DFT total energy: -4.829 eV/atom
* mass density: 9.2 g cm⁻³

Cell lengths 4.253, 4.253, 10.238 Å; angles 90.00, 90.00, 90.00 degrees
Element x y z (fractional)
Cd  0.000  0.000  0.000
Pd  0.500  0.000  0.706
Pd  0.000  0.500  0.294
Pd  0.500  0.000  0.294
Pd  0.000  0.500  0.706
Pd  0.500  0.500  0.500
Sn  0.500  0.500  0.863
Sn  0.500  0.500  0.137
Pr  0.000  0.000  0.500

=====

Entry 7:
An optimized crystal structure of KGaGeS4, computed with GGA-PBE.

Properties
* crystal system: monoclinic
* spin magnetization: 0.000 μB/atom
* DFT total energy: -4.390 eV/atom
* mass density: 2.6 g cm⁻³

Cell lengths 16.362, 6.985, 7.292 Å; angles 70.97, 90.00, 90.00 degrees
Element x y z (fractional)
Ga  0.585  0.155  0.485
Ga  0.085  0.845  0.515
Ga  0.774  0.396  0.299
Ga  0.274  0.604  0.701
K  0.102  0.487  0.169
K  0.393  0.966  0.175
K  0.893  0.034  0.825
K  0.602  0.513  0.831
S  0.909  0.386  0.392
S  0.200  0.725  0.426
S  0.497  0.378  0.263
S  0.258  0.790  0.909
S  0.802  0.782  0.554
S  0.597  0.869  0.396
S  0.742  0.715  0.086
S  0.700  0.275  0.574
S  0.409  0.614  0.608
S  0.242  0.285  0.914
S  0.302  0.218  0.446
S  0.996  0.899  0.250
S  0.997  0.622  0.737
S  0.097  0.131  0.604
S  0.758  0.210  0.091
S  0.496  0.101  0.750
Ge  0.724  0.899  0.282
Ge  0.224  0.101  0.718
Ge  0.921  0.668  0.471
Ge  0.421  0.332  0.529

=====

Entry 8:
An optimized crystal structure of Ti12Sn6Ir, computed with GGA-PBE.

Properties
* crystal system: trigonal
* formation energy: -3.821 eV per formula unit
* spin magnetization: 0.000 μB/atom
* DFT total energy: -6.918 eV/atom
* mass density: 7.0 g cm⁻³

Cell lengths 7.061, 7.061, 7.061 Å; angles 91.27, 91.27, 91.27 degrees
Element x y z (fractional)
Sn  0.261  0.718  0.878
Sn  0.718  0.878  0.261
Sn  0.122  0.739  0.282
Sn  0.878  0.261  0.718
Sn  0.739  0.282  0.122
Sn  0.282  0.122  0.739
Ti  0.061  0.143  0.374
Ti  0.471  0.552  0.205
Ti  0.939  0.857  0.626
Ti  0.795  0.529  0.448
Ti  0.529  0.448  0.795
Ti  0.143  0.374  0.061
Ti  0.205  0.471  0.552
Ti  0.448  0.795  0.529
Ti  0.857  0.626  0.939
Ti  0.626  0.939  0.857
Ti  0.552  0.205  0.471
Ti  0.374  0.061  0.143
Ir  0.000  0.000  0.000

=====

Entry 9:
An optimized crystal structure of Th2TaFe9, computed with GGA-PBE.

Properties
* crystal system: trigonal
* formation energy: 0.573 eV per formula unit
* spin magnetization: 1.312 μB/atom
* DFT total energy: -8.524 eV/atom
* mass density: 10.7 g cm⁻³

Cell lengths 4.934, 4.934, 8.882 Å; angles 73.87, 73.87, 60.00 degrees
Each line ends with the local moment (μB).
Element x y z (fractional)
Fe  0.500  0.500  0.500  1.59
Fe  0.920  0.422  0.236  1.99
Fe  0.578  0.080  0.764  1.99
Fe  0.667  0.667  0.998  2.09
Fe  0.422  0.920  0.236  1.99
Fe  0.333  0.333  0.002  2.09
Fe  0.578  0.578  0.764  1.99
Fe  0.422  0.422  0.236  1.99
Fe  0.080  0.578  0.764  1.99
Ta  0.000  0.000  0.000  -0.60
Th  0.862  0.862  0.414  -0.36
Th  0.138  0.138  0.586  -0.36

=====

Entry 10:
An optimized crystal structure of ScP2N2, computed with GGA-PBE.

Properties
* relative energy among the computed polymorphs: 0.286 eV/atom
* crystal system: tetragonal
* spin magnetization: 0.000 μB/atom
* DFT total energy: -6.332 eV/atom
* mass density: 3.5 g cm⁻³

Cell lengths 3.410, 3.410, 6.072 Å; angles 73.69, 73.69, 90.00 degrees
Element x y z (fractional)
P  0.677  0.677  0.646
P  0.323  0.323  0.354
N  0.250  0.750  0.500
N  0.750  0.250  0.500
Sc  0.000  0.000  0.000

=====

Entry 11:
An optimized crystal structure of LiAg4Pd4, computed with GGA-PBE.

Properties
* crystal system: tetragonal
* formation energy: -1.123 eV per formula unit
* spin magnetization: 0.000 μB/atom
* DFT total energy: -3.913 eV/atom
* mass density: 9.8 g cm⁻³

Cell lengths 3.974, 6.373, 6.373 Å; angles 84.42, 71.83, 71.83 degrees
Element x y z (fractional)
Ag  0.334  0.331  0.000
Ag  0.334  0.000  0.331
Ag  0.666  0.000  0.669
Ag  0.666  0.669  0.000
Li  0.000  0.000  0.000
Pd  0.000  0.665  0.335
Pd  0.000  0.335  0.665
Pd  0.665  0.335  0.335
Pd  0.335  0.665  0.665

=====

Entry 12:
An optimized crystal structure of Ni2OsRh, computed with GGA-PBE.

Properties
* crystal system: monoclinic
* formation energy: 0.226 eV per formula unit
* spin magnetization: 0.000 μB/atom
* DFT total energy: -7.480 eV/atom
* mass density: 13.5 g cm⁻³

Cell lengths 4.552, 4.552, 4.452 Å; angles 80.11, 80.11, 33.84 degrees
Element x y z (fractional)
Ni  0.997  0.997  0.012
Ni  0.250  0.250  0.245
Os  0.502  0.502  0.499
Rh  0.750  0.750  0.744